# 1
Density functional theory data (PBEsol) for a relaxed structure of KSiPb3.

a = 5.500 Å, b = 5.500 Å, c = 5.500 Å
α = 90.00°, β = 90.00°, γ = 90.00°
Element x y z (fractional)
Pb: 0.000 0.500 0.000
Pb: 0.000 0.000 0.500
Pb: 0.500 0.000 0.000
K: 0.500 0.500 0.500
Si: 0.000 0.000 0.000

Summary:
SG = No. 221
DOS(E_F) = 0.874 states/eV/atom
Energy relative to the elements, uncorrected = 284 meV/atom
Volume = 166 Å³ per cell



# 2
Density functional theory data (PBEsol) for a relaxed structure of K2SiPb.

a = 4.523 Å, b = 4.524 Å, c = 6.408 Å
α = 110.67°, β = 110.66°, γ = 90.00°
Element x y z (fractional)
K: 0.750 0.750 0.500
K: 0.250 0.250 0.500
Pb: 0.500 0.000 0.000
Si: 0.000 0.500 0.000

Summary:
SG = No. 139
DOS(E_F) = 0.813 states/eV/atom
Energy relative to the elements, uncorrected = 269 meV/atom
Volume = 114 Å³ per cell



# 3
Density functional theory data (PBEsol) for a relaxed structure of K2SiPb.

a = 5.601 Å, b = 5.601 Å, c = 5.601 Å
α = 60.00°, β = 60.00°, γ = 60.00°
Element x y z (fractional)
K: 0.250 0.250 0.250
K: 0.750 0.750 0.750
Pb: 0.000 0.000 0.000
Si: 0.500 0.500 0.500

Summary:
SG = No. 225
DOS(E_F) = 0.377 states/eV/atom
Energy relative to the elements, uncorrected = 391 meV/atom
Volume = 124 Å³ per cell



# 4
Density functional theory data (PBEsol) for a relaxed structure of KSn2Pb2.

a = 3.634 Å, b = 9.230 Å, c = 9.230 Å
α = 90.00°, β = 90.00°, γ = 90.00°
Element x y z (fractional)
Pb: 0.000 0.364 0.864
Pb: 0.000 0.864 0.636
Pb: 0.000 0.636 0.136
Pb: 0.000 0.136 0.364
K: 0.000 0.000 0.000
K: 0.000 0.500 0.500
Sn: 0.500 0.154 0.654
Sn: 0.500 0.654 0.846
Sn: 0.500 0.846 0.346
Sn: 0.500 0.346 0.154

Summary:
SG = No. 127
DOS(E_F) = 0.516 states/eV/atom
Formation energy from the elements = -65 meV per atom
Volume = 310 Å³ per cell



# 5
Density functional theory data (PBEsol) for a relaxed structure of KSn2Pb2.

a = 5.011 Å, b = 5.011 Å, c = 7.697 Å
α = 109.00°, β = 109.00°, γ = 90.00°
Element x y z (fractional)
Pb: 0.382 0.382 0.763
Pb: 0.618 0.618 0.237
K: 0.000 0.000 0.000
Sn: 0.250 0.750 0.500
Sn: 0.750 0.250 0.500

Summary:
SG = No. 139
DOS(E_F) = 0.380 states/eV/atom
Formation energy from the elements = -72 meV per atom
Volume = 172 Å³ per cell



# 6
Density functional theory data (PBEsol) for a relaxed structure of KSnTe2Pb.

a = 5.618 Å, b = 6.051 Å, c = 6.051 Å
α = 90.00°, β = 90.00°, γ = 90.00°
Element x y z (fractional)
Pb: 0.000 0.000 0.000
K: 0.500 0.500 0.500
Te: 0.000 0.000 0.500
Te: 0.000 0.500 0.000
Sn: 0.500 0.000 0.000

Summary:
SG = No. 123
DOS(E_F) = 0.796 states/eV/atom
Energy relative to the elements, uncorrected = 100 meV/atom
Volume = 206 Å³ per cell



# 7
Density functional theory data (PBEsol) for a relaxed structure of KSr2Pb.

a = 4.911 Å, b = 5.578 Å, c = 5.578 Å
α = 90.00°, β = 90.00°, γ = 90.00°
Element x y z (fractional)
K: 0.500 0.000 0.000
Pb: 0.500 0.500 0.500
Sr: 0.000 0.500 0.000
Sr: 0.000 0.000 0.500

Summary:
SG = No. 123
DOS(E_F) = 0.489 states/eV/atom
Formation energy from the elements = -170 meV per atom
Volume = 153 Å³ per cell



# 8
Density functional theory data (PBEsol) for a relaxed structure of K2SrPb.

a = 4.190 Å, b = 4.190 Å, c = 11.017 Å
α = 90.00°, β = 90.00°, γ = 90.00°
Element x y z (fractional)
K: 0.000 0.000 0.984
K: 0.500 0.500 0.320
Pb: 0.000 0.000 0.522
Sr: 0.500 0.500 0.675

Summary:
SG = No. 99
DOS(E_F) = 0.574 states/eV/atom
Formation energy from the elements = -162 meV per atom
Volume = 193 Å³ per cell



Copy entry 8 word for word.
Density functional theory data (PBEsol) for a relaxed structure of K2SrPb.

a = 4.190 Å, b = 4.190 Å, c = 11.017 Å
α = 90.00°, β = 90.00°, γ = 90.00°
Element x y z (fractional)
K: 0.000 0.000 0.984
K: 0.500 0.500 0.320
Pb: 0.000 0.000 0.522
Sr: 0.500 0.500 0.675

Summary:
SG = No. 99
DOS(E_F) = 0.574 states/eV/atom
Formation energy from the elements = -162 meV per atom
Volume = 193 Å³ per cell



- DOS(E_F) of number 3 (K2SiPb)?
  0.377 states/eV/atom



- The highest DOS(E_F) belongs to which entry?
  KSiPb3